# SrDyCuTe3, relaxed, DFT PBE
data_SrDyCuTe3
_chemical_formula_sum 'Sr2 Dy2 Cu2 Te6'
_cell_length_a 8.5962
_cell_length_b 4.3182
_cell_length_c 10.3906
_cell_angle_alpha 90.00
_cell_angle_beta 105.24
_cell_angle_gamma 90.00
_space_group_name_H-M_alt 'P 1 21/m 1'
_space_group_IT_number 11
loop_
_space_group_symop_operation_xyz
'x,y,z'
'-x,-y,-z'
'-x,y+1/2,-z'
'x,-y+1/2,z'
loop_
_atom_site_label
_atom_site_type_symbol
_atom_site_fract_x
_atom_site_fract_y
_atom_site_fract_z
Sr1 Sr 0.2231 0.2500 0.2892
Dy1 Dy 0.3141 0.7500 0.8375
Cu1 Cu 0.0766 0.2500 0.5876
Te1 Te 0.0684 0.2500 0.8441
Te2 Te 0.2446 0.7500 0.5367
Te3 Te 0.4257 0.7500 0.1492
# Final energy: -4.43 eV per atom



# DyTa3Cu5, relaxed, DFT PBE
data_DyTa3Cu5
_chemical_formula_sum 'Dy1 Ta3 Cu5'
_cell_length_a 4.5136
_cell_length_b 5.5130
_cell_length_c 5.9903
_cell_angle_alpha 90.00
_cell_angle_beta 93.77
_cell_angle_gamma 90.00
_space_group_name_H-M_alt 'P 1 2 1'
_space_group_IT_number 3
loop_
_space_group_symop_operation_xyz
'x,y,z'
'-x,y,-z'
loop_
_atom_site_label
_atom_site_type_symbol
_atom_site_fract_x
_atom_site_fract_y
_atom_site_fract_z
Dy1 Dy 0.0000 0.0000 0.0000
Ta1 Ta 0.0000 0.2072 0.5000
Ta2 Ta 0.5000 0.5009 0.5000
Ta3 Ta 0.5000 0.5100 0.0000
Cu1 Cu 0.0000 0.7625 0.5000
Cu2 Cu 0.0138 0.4989 0.1937
Cu3 Cu 0.4937 0.9537 0.7043
# Energy of formation: 0.30 eV per atom



Here are the calculated calculated volume numbers, same order: 372.14; 148.74 (Å³ per cell).